# 1
Computed, not measured: a relaxed structure of TaCuW2 at the PBE-GGA level of DFT.

Output
E_form: 4.7 kcal/mol of atoms
Energy relative to the lowest polymorph listed for this composition: 0.072 eV per atom
Total energy: -41.036 eV/cell
Total magnetization: 0.0 μB/f.u.

a = 4.2758 Å, b = 3.8350 Å, c = 3.8350 Å
α = 90.00°, β = 90.00°, γ = 90.00°
Closest atoms and distances in Å follow each position.
Fractional positions:
1 Cu 0.5000 0.5000 0.0000  4 Ta 2.71, 8 W 2.87
2 Ta 0.5000 0.0000 0.5000  4 Cu 2.71, 8 W 2.87
3 W 0.0000 0.0000 0.0000  4 W 2.71, 4 Ta 2.87, 4 Cu 2.87
4 W 0.0000 0.5000 0.5000  4 W 2.71, 4 Ta 2.87, 4 Cu 2.87

---

# 2
Computed, not measured: a relaxed structure of TaCuW2 at the PBE-GGA level of DFT.

Output
E_form: 7.2 kcal/mol of atoms
Energy relative to the lowest polymorph listed for this composition: 0.177 eV per atom
Total energy: -40.615 eV/cell
Total magnetization: 0.0 μB/f.u.

a = 4.8310 Å, b = 4.8310 Å, c = 5.0988 Å
α = 83.21°, β = 83.21°, γ = 32.70°
Closest atoms and distances in Å follow each position.
Fractional positions:
1 Cu 0.4975 0.4975 0.4958  2 Cu 2.72, 7 W 2.76-2.91, 3 Ta 2.76-2.78
2 Ta 0.2403 0.2403 0.2661  2 Ta 2.72, 7 W 2.76-2.97, 3 Cu 2.76-2.78
3 W 0.0016 0.0016 0.9912  5 W 2.69-2.90, 3 Ta 2.76-2.97, 4 Cu 2.87-2.91
4 W 0.7607 0.7607 0.7468  5 W 2.69-2.90, 3 Cu 2.76-2.89, 4 Ta 2.83-2.96

---

# 3
Computed, not measured: a relaxed structure of TaCuW2 at the PBE-GGA level of DFT.

Output
E_form: 5.5 kcal/mol of atoms
Energy relative to the lowest polymorph listed for this composition: 0.106 eV per atom
Total energy: -40.901 eV/cell
Total magnetization: 0.0 μB/f.u.

a = 4.5922 Å, b = 2.7230 Å, c = 5.1279 Å
α = 82.57°, β = 90.00°, γ = 90.00°
Closest atoms and distances in Å follow each position.
Fractional positions:
1 Cu 0.5000 0.2500 0.2500  2 Cu 2.72, 4 W 2.74, 2 Ta 2.74
2 Ta 0.5000 0.7500 0.7500  2 Ta 2.72, 2 Cu 2.74, 4 W 2.77
3 W 0.0000 0.0185 0.0003  5 W 2.71-3.00, 2 Cu 2.74, 2 Ta 2.77
4 W 0.0000 0.4815 0.4997  5 W 2.71-3.00, 2 Cu 2.74, 2 Ta 2.77

---

# 4
Computed, not measured: a relaxed structure of Ta3CuW at the PBE-GGA level of DFT.

Output
E_form: 39.8 kcal/mol of atoms
Energy relative to the lowest polymorph listed for this composition: 0.348 eV per atom
Total energy: -43.968 eV/cell
Total magnetization: 0.0 μB/f.u.

a = 4.8575 Å, b = 4.8575 Å, c = 4.8575 Å
α = 90.00°, β = 90.00°, γ = 90.00°
Closest atoms and distances in Å follow each position.
Fractional positions:
1 Cu 0.5000 0.5000 0.5000  12 Ta 3.43
2 W 0.0000 0.0000 0.0000  6 Ta 2.43
3 Ta 0.0000 0.5000 0.0000  2 W 2.43
4 Ta 0.0000 0.0000 0.5000  2 W 2.43
5 Ta 0.5000 0.0000 0.0000  2 W 2.43

---

# 5
Computed, not measured: a relaxed structure of TaCuW2 at the PBE-GGA level of DFT.

Output
E_form: 7.5 kcal/mol of atoms
Energy relative to the lowest polymorph listed for this composition: 0.194 eV per atom
Total energy: -40.547 eV/cell
Total magnetization: 0.0 μB/f.u.

a = 5.0522 Å, b = 5.0522 Å, c = 5.0522 Å
α = 134.95°, β = 134.95°, γ = 65.61°
Closest atoms and distances in Å follow each position.
Fractional positions:
1 Cu 0.2500 0.7500 0.5000  4 Ta 2.74, 8 W 2.87
2 Ta 0.7500 0.2500 0.5000  4 Cu 2.74, 8 W 2.87
3 W 0.0000 0.0000 0.0000  4 W 2.74, 4 Ta 2.87, 4 Cu 2.87
4 W 0.5000 0.5000 0.0000  4 W 2.74, 4 Cu 2.87, 4 Ta 2.87

---

# 6
Computed, not measured: a relaxed structure of TaCuW2 at the PBE-GGA level of DFT.

Output
E_form: 7.0 kcal/mol of atoms
Energy relative to the lowest polymorph listed for this composition: 0.171 eV per atom
Total energy: -40.641 eV/cell
Total magnetization: 0.0 μB/f.u.

a = 2.6808 Å, b = 4.1800 Å, c = 5.7040 Å
α = 90.00°, β = 90.00°, γ = 90.00°
Closest atoms and distances in Å follow each position.
Fractional positions:
1 Cu 0.0000 0.0000 0.4991  2 Cu 2.68, 6 W 2.80-2.91, 4 Ta 2.84
2 Ta 0.5000 0.5000 0.7410  2 Ta 2.68, 6 W 2.79-2.91, 4 Cu 2.84
3 W 0.0000 0.0000 0.0085  6 W 2.68-2.84, 2 Cu 2.80-2.91, 4 Ta 2.91
4 W 0.5000 0.5000 0.2514  6 W 2.68-2.84, 2 Ta 2.79-2.91, 4 Cu 2.86

---

# 7
Computed, not measured: a relaxed structure of TaCuW2 at the PBE-GGA level of DFT.

Output
E_form: 5.5 kcal/mol of atoms
Energy relative to the lowest polymorph listed for this composition: 0.108 eV per atom
Total energy: -40.893 eV/cell
Total magnetization: 0.0 μB/f.u.

a = 4.6382 Å, b = 4.6382 Å, c = 4.6382 Å
α = 125.84°, β = 125.84°, γ = 80.14°
Closest atoms and distances in Å follow each position.
Fractional positions:
1 Cu 0.5000 0.5000 0.0000  8 W 2.76-2.99, 4 Ta 2.76
2 Ta 0.7500 0.2500 0.5000  8 W 2.76-2.99, 4 Cu 2.76
3 W 0.0000 0.0000 0.0000  4 Ta 2.76, 4 W 2.76, 4 Cu 2.99
4 W 0.2500 0.7500 0.5000  4 W 2.76, 4 Cu 2.76, 4 Ta 2.99

---

# 8
Computed, not measured: a relaxed structure of TaCuW2 at the PBE-GGA level of DFT.

Output
E_form: 5.1 kcal/mol of atoms
Energy relative to the lowest polymorph listed for this composition: 0.088 eV per atom
Total energy: -40.974 eV/cell
Total magnetization: 0.0 μB/f.u.

a = 5.1892 Å, b = 5.3200 Å, c = 2.7112 Å
α = 79.79°, β = 80.84°, γ = 116.56°
Closest atoms and distances in Å follow each position.
Fractional positions:
1 Cu 0.0000 0.5000 0.5000  2 Cu 2.71, 2 Ta 2.73, 4 W 2.76
2 Ta 0.5000 0.5000 0.0000  2 Ta 2.71, 2 Cu 2.73, 4 W 2.76
3 W 0.0000 0.0000 0.0000  4 W 2.71-2.73, 2 Ta 2.76, 2 Cu 2.76
4 W 0.5000 0.0000 0.5000  4 W 2.71-2.73, 2 Cu 2.76, 2 Ta 2.76

---

# 9
Computed, not measured: a relaxed structure of TaCuW2 at the PBE-GGA level of DFT.

Output
E_form: 21.1 kcal/mol of atoms
Energy relative to the lowest polymorph listed for this composition: 0.782 eV per atom
Total energy: -76.391 eV/cell
Total magnetization: 0.0 μB/f.u.

a = 7.1888 Å, b = 7.1888 Å, c = 5.7190 Å
α = 51.06°, β = 51.06°, γ = 90.00°
Closest atoms and distances in Å follow each position.
Fractional positions:
1 Cu 0.5000 0.5000 0.0000  4 W 2.51, 2 Ta 2.62
2 Cu 0.2500 0.7500 0.5000  4 W 2.51, 2 Ta 2.62
3 W 0.6015 0.1250 0.2500  2 Cu 2.51, 2 W 2.64, 2 Ta 2.74
4 W 0.1485 0.6250 0.2500  2 Cu 2.51, 2 W 2.64, 2 Ta 2.74
5 W 0.3750 0.3985 0.7500  2 Cu 2.51, 2 W 2.64, 2 Ta 2.74
6 W 0.8750 0.8515 0.7500  2 Cu 2.51, 2 W 2.64, 2 Ta 2.74
7 Ta 0.0000 0.0000 0.0000  2 Cu 2.62, 4 W 2.74
8 Ta 0.7500 0.2500 0.5000  2 Cu 2.62, 4 W 2.74

---

# 10
Computed, not measured: a relaxed structure of YTa2CuW at the PBE-GGA level of DFT.

Output
E_form: 33.3 kcal/mol of atoms
Total energy: -39.988 eV/cell
Total magnetization: 0.8 μB/f.u.

a = 4.8578 Å, b = 5.4659 Å, c = 4.8578 Å
α = 90.00°, β = 90.00°, γ = 90.00°
Closest atoms and distances in Å follow each position.
Fractional positions:
1 Y 0.0000 0.5000 0.0000  2 W 2.73
2 Cu 0.5000 0.5000 0.5000  4 Y 3.43, 8 Ta 3.66
3 W 0.0000 0.0000 0.0000  4 Ta 2.43
4 Ta 0.0000 0.0000 0.5000  2 W 2.43
5 Ta 0.5000 0.0000 0.0000  2 W 2.43

---

# 11
Computed, not measured: a relaxed structure of ZrTa2CuW at the PBE-GGA level of DFT.

Output
E_form: 53.3 kcal/mol of atoms
Total energy: -37.749 eV/cell
Total magnetization: 0.0 μB/f.u.

a = 4.8907 Å, b = 4.7769 Å, c = 4.8907 Å
α = 90.00°, β = 90.00°, γ = 90.00°
Closest atoms and distances in Å follow each position.
Fractional positions:
1 Cu 0.5000 0.5000 0.5000  8 Ta 3.42, 4 W 3.46
2 Zr 0.0000 0.0000 0.0000  2 W 2.39, 4 Ta 2.45
3 W 0.0000 0.5000 0.0000  2 Zr 2.39
4 Ta 0.0000 0.0000 0.5000  2 Zr 2.45
5 Ta 0.5000 0.0000 0.0000  2 Zr 2.45

---

# 12
Computed, not measured: a relaxed structure of ZrTaCuW at the PBE-GGA level of DFT.

Output
E_form: 1.9 kcal/mol of atoms
Total energy: -37.123 eV/cell
Total magnetization: 0.0 μB/f.u.

a = 4.6088 Å, b = 4.6088 Å, c = 4.6088 Å
α = 60.00°, β = 60.00°, γ = 60.00°
Closest atoms and distances in Å follow each position.
Fractional positions:
1 Cu 0.7500 0.7500 0.7500  4 Zr 2.82, 4 Ta 2.82
2 Zr 0.5000 0.5000 0.5000  4 W 2.82, 4 Cu 2.82
3 W 0.2500 0.2500 0.2500  4 Ta 2.82, 4 Zr 2.82
4 Ta 0.0000 0.0000 0.0000  4 Cu 2.82, 4 W 2.82